This record from Alexandria via LeMat-Bulk describes a relaxed structure of PuScO. The functional is GGA-PBE.

a = 3.2642 Å, b = 3.2642 Å, c = 5.9232 Å
α = 90.00°, β = 90.00°, γ = 120.00°
Space group P3m1 (No. 156)
Inequivalent atoms, fractional coordinates:
Pu 0.0000 0.0000 0.0000 x1
Sc 0.6667 0.3333 0.4735 x1
O 0.3333 0.6667 0.2872 x1

---

This record from Alexandria via LeMat-Bulk describes a relaxed structure of PuScO. The functional is GGA-PBE.

a = 6.525 Å, b = 5.747 Å, c = 6.263 Å
α = 90.00°, β = 115.73°, γ = 90.00°
Space group P2_1/c (No. 14)
Inequivalent atoms, fractional coordinates:
Pu 0.117 0.181 0.377 x4
Sc 0.392 0.678 0.626 x4
O 0.286 0.523 0.269 x4

---

This record from Alexandria via LeMat-Bulk describes a relaxed structure of PuSc2O. The functional is GGA-PBE.

a = 3.1930 Å, b = 3.1930 Å, c = 26.1306 Å
α = 90.00°, β = 90.00°, γ = 120.00°
Space group R-3m (No. 166, hexagonal axes)
Inequivalent atoms, fractional coordinates:
Pu 0.0000 0.0000 0.0000 x3
Sc 0.0000 0.0000 0.1192 x6
O 0.0000 0.0000 0.5000 x3

---

Computed values of mass density (unit: g/cm3) for the preceding records, in sequence: 9.26, 9.57, 7.56.
Computed values of DFT total energy (unit: eV/atom) for the preceding records, in sequence: -10.16, -10.21, -9.22.